ZnRhNO2, relaxed, DFT GGA-PBE; calculated density = 6.3 Mg/m³; spin magnetization = 2.992 μB/f.u.; raw formation energy = 0.94 eV per atom
1.0
3.7848 0.0000 0.0000
0.0000 3.7848 0.0000
0.0000 0.0000 3.9408
N Rh Zn O
1 1 1 2
Cartesian
0.0000 0.0000 1.9704
1.8924 1.8924 1.9704
0.0000 0.0000 0.0000
1.8924 0.0000 0.0000
0.0000 1.8924 0.0000